[1]
Here is an optimized crystal structure of Zn3TcSe from Alexandria. Energies are from PBE.

Cell and atoms, written as extended XYZ:
```
5
Lattice="4.910 0.000 0.000 0.000 4.910 0.000 0.000 0.000 4.910" Properties=species:S:1:pos:R:3 pbc="T T T"
Zn 0.000 0.000 2.455
Zn 0.000 2.455 0.000
Zn 2.455 0.000 0.000
Tc 0.000 0.000 0.000
Se 2.455 2.455 2.455
```

Output
Excess energy over the best structure of this formula in the dataset   0 meV per atom
SG   No. 221

[2]
Here is an optimized crystal structure of Zn2TcSe2 from Alexandria. Energies are from PBE.

Cell and atoms, written as extended XYZ:
```
5
Lattice="-1.628 1.628 8.978 1.628 -1.628 8.978 1.628 1.628 -8.978" Properties=species:S:1:pos:R:3 pbc="T T T"
Zn 1.628 0.000 4.489
Zn 0.000 1.628 4.489
Tc 0.000 0.000 0.000
Se 0.000 0.000 7.491
Se 0.000 0.000 10.464
```

Output
Excess energy over the best structure of this formula in the dataset   0 meV per atom
SG   No. 139

[3]
Here is an optimized crystal structure of ZnTcSe from Alexandria. Energies are from PBE.

Cell and atoms, written as extended XYZ:
```
3
Lattice="3.139 0.000 0.000 -1.570 2.719 0.000 0.000 0.000 6.242" Properties=species:S:1:pos:R:3 pbc="T T T"
Zn 0.000 0.000 0.000
Tc 1.570 0.906 4.266
Se 0.000 1.812 2.638
```

Output
Excess energy over the best structure of this formula in the dataset   0 meV per atom
SG   No. 156

[4]
Here is an optimized crystal structure of Zn2TcSe2 from Alexandria. Energies are from PBE.

Cell and atoms, written as extended XYZ:
```
10
Lattice="6.935 0.000 0.000 0.000 6.935 0.000 0.000 0.000 3.759" Properties=species:S:1:pos:R:3 pbc="T T T"
Zn 0.924 2.543 0.000
Zn 2.543 6.011 0.000
Zn 4.391 0.924 0.000
Zn 6.011 4.391 0.000
Tc 0.000 0.000 1.880
Tc 3.467 3.467 1.880
Se 1.291 4.758 1.880
Se 2.177 1.291 1.880
Se 4.758 5.644 1.880
Se 5.644 2.177 1.880
```

Output
Excess energy over the best structure of this formula in the dataset   3 meV per atom
SG   No. 127

[5]
Here is an optimized crystal structure of Zn3TcSe from Alexandria. Energies are from PBE.

Cell and atoms, written as extended XYZ:
```
5
Lattice="4.845 0.000 0.000 0.000 4.845 0.000 0.000 0.000 4.845" Properties=species:S:1:pos:R:3 pbc="T T T"
Zn 0.000 0.000 2.422
Zn 0.000 2.422 0.000
Zn 2.422 0.000 0.000
Tc 2.422 2.422 2.422
Se 0.000 0.000 0.000
```

Output
Excess energy over the best structure of this formula in the dataset   284 meV per atom
SG   No. 221

[6]
Here is an optimized crystal structure of ZnTcSe from Alexandria. Energies are from PBE.

Cell and atoms, written as extended XYZ:
```
3
Lattice="-1.516 1.516 5.907 1.516 -1.516 5.907 1.516 1.516 -5.907" Properties=species:S:1:pos:R:3 pbc="T T T"
Zn 0.000 0.000 0.000
Tc 0.000 0.000 7.584
Se 0.000 0.000 3.034
```

Output
Excess energy over the best structure of this formula in the dataset   34 meV per atom
SG   No. 107

Number 1: mass density 5235 kg/m3. Number 2: mass density 6747 kg/m3. Number 3: mass density 7556 kg/m3. Number 4: mass density 7104 kg/m3. Number 5: mass density 5450 kg/m3. Number 6: mass density 7411 kg/m3.